[1]
GdRe2: relaxed, PBE. Values from VASP.

Geometry as Quantum ESPRESSO input:
```
&SYSTEM
  ibrav = 0, nat = 6, ntyp = 2
/
ATOMIC_SPECIES
Gd 157.25 Gd.upf
Re 186.21 Re.upf
ATOMIC_POSITIONS angstrom
Gd 0.962 0.962 0.962
Gd 6.737 6.737 6.737
Re 3.850 1.925 1.925
Re 1.925 3.850 1.925
Re 1.925 1.925 3.850
Re 3.850 3.850 3.850
CELL_PARAMETERS angstrom
0.000 3.850 3.850
3.850 0.000 3.850
3.850 3.850 0.000
```

=====

[2]
GdRe6: relaxed, PBE. Values from VASP.

Geometry as Quantum ESPRESSO input:
```
&SYSTEM
  ibrav = 0, nat = 7, ntyp = 2
/
ATOMIC_SPECIES
Gd 157.25 Gd.upf
Re 186.21 Re.upf
ATOMIC_POSITIONS angstrom
Gd 0.000 0.000 0.000
Re 3.452 1.726 0.000
Re 3.452 0.000 1.726
Re 1.726 3.452 0.000
Re 1.726 0.000 3.452
Re 0.000 3.452 1.726
Re 0.000 1.726 3.452
CELL_PARAMETERS angstrom
-3.452 3.452 3.452
3.452 -3.452 3.452
3.452 3.452 -3.452
```

=====

Number 1: E_form -0.3 eV/f.u.. Number 2: E_form 7.2 eV/f.u..